Record 1
PAu3 after structural relaxation, computed with PBE.

Results
The value obtained for the total energy is -3.79 eV per atom. As for the symmetry: Pnma, No. 62. As for the formation enthalpy at 0 K: 0.025 eV per atom.

Lattice parameters (Å, degrees): 7.8461 7.7424 5.2891 90.00 90.00 90.00
With the nearest neighbours (Å) after each atom.
Fractional coordinates of all 16 atoms:
P1 0.2167 0.2500 0.0141  6 Au 2.38-2.56
P2 0.2833 0.7500 0.5141  6 Au 2.38-2.56
P3 0.7167 0.2500 0.4859  6 Au 2.38-2.56
P4 0.7833 0.7500 0.9859  6 Au 2.38-2.56
Au1 0.0285 0.7500 0.2514  2 P 2.38-2.43
Au2 0.2263 0.0638 0.3861  2 P 2.44-2.56
Au3 0.2263 0.4362 0.3861  2 P 2.44-2.56
Au4 0.2737 0.5638 0.8861  2 P 2.44-2.56
Au5 0.2737 0.9362 0.8861  2 P 2.44-2.56
Au6 0.4715 0.2500 0.7514  2 P 2.38-2.43
Au7 0.5285 0.7500 0.2486  2 P 2.38-2.43
Au8 0.7263 0.0638 0.1139  2 P 2.44-2.56
Au9 0.7263 0.4362 0.1139  2 P 2.44-2.56
Au10 0.7737 0.5638 0.6139  2 P 2.44-2.56
Au11 0.7737 0.9362 0.6139  2 P 2.44-2.56
Au12 0.9715 0.2500 0.7486  2 P 2.38-2.43

---

Record 2
Ag2Au after structural relaxation, computed with PBE.

Results
The value obtained for the total energy is -3.02 eV per atom. As for the symmetry: Cm, No. 8. As for the formation enthalpy at 0 K: -0.026 eV per atom.

Lattice parameters (Å, degrees): 5.6398 5.6398 6.9789 106.16 106.16 30.75
With the nearest neighbours (Å) after each atom.
Fractional coordinates of all 6 atoms:
Ag1 0.0000 0.0000 0.0000  7 Ag 2.92-2.99, 5 Au 2.95-2.96
Ag2 0.0521 0.0521 0.6063  4 Au 2.90-2.91, 8 Ag 2.95-2.99
Ag3 0.3320 0.3320 0.6662  9 Ag 2.91-2.99, 3 Au 2.95-2.96
Ag4 0.6670 0.6670 0.3330  8 Ag 2.91-2.99, 4 Au 2.95-2.97
Au1 0.3873 0.3873 0.2748  8 Ag 2.90-2.96, 4 Au 2.94-2.99
Au2 0.7189 0.7189 0.9378  8 Ag 2.91-2.97, 4 Au 2.94-2.99

---

Record 3
Ac2ScSe2O2 after structural relaxation, computed with PBE.

Results
The value obtained for the total energy is -7.08 eV per atom. As for the symmetry: I4/mmm, No. 139.

Lattice parameters (Å, degrees): 8.5028 8.5028 8.5028 150.73 150.73 41.87
With the nearest neighbours (Å) after each atom.
Fractional coordinates of all 7 atoms:
Ac1 0.1231 0.1231 0.0000  4 O 2.90, 5 Se 3.15-3.21
Ac2 0.8769 0.8769 0.0000  4 O 2.90, 5 Se 3.15-3.21
Sc1 0.5000 0.5000 0.0000  4 O 2.15
Se1 0.3253 0.3253 0.0000  1 Sc 2.77
Se2 0.6747 0.6747 0.0000  1 Sc 2.77
O1 0.0000 0.5000 0.5000  2 Sc 2.15
O2 0.5000 0.0000 0.5000  2 Sc 2.15

---

Record 4
Y2PPb after structural relaxation, computed with PBE.

Results
The value obtained for the total energy is -5.70 eV per atom. As for the symmetry: R3m, No. 160. As for the formation enthalpy at 0 K: -0.186 eV per atom.

Lattice parameters (Å, degrees): 9.3664 9.3664 9.3664 23.61 23.61 23.61
With the nearest neighbours (Å) after each atom.
Fractional coordinates of all 4 atoms:
Y1 0.0000 0.0000 0.0000  3 P 2.78
Y2 0.2286 0.2286 0.2286  3 Pb 3.52, 9 Y 3.62-3.83
P1 0.7283 0.7283 0.7283  3 Y 2.78, 3 Pb 2.87
Pb1 0.4616 0.4616 0.4616  3 P 2.87

---

Record 5
Mg4BiPb after structural relaxation, computed with PBE.

Results
The value obtained for the total energy is -2.32 eV per atom. As for the symmetry: F-43m, No. 216. As for the formation enthalpy at 0 K: 0.004 eV per atom.

Lattice parameters (Å, degrees): 6.0096 6.0096 6.0096 60.00 60.00 60.00
With the nearest neighbours (Å) after each atom.
Fractional coordinates of all 6 atoms:
Mg1 0.1247 0.1247 0.1247  6 Mg 3.00-3.01
Mg2 0.1247 0.1247 0.6260  6 Mg 3.00-3.01
Mg3 0.1247 0.6260 0.1247  6 Mg 3.00-3.01
Mg4 0.6260 0.1247 0.1247  6 Mg 3.00-3.01
Bi1 0.7500 0.7500 0.7500  12 Mg 3.52, 4 Pb 3.68
Pb1 0.5000 0.5000 0.5000  12 Mg 3.52, 4 Bi 3.68

---

Record 6
NpPd3Pt3 after structural relaxation, computed with PBE.

Results
The value obtained for the total energy is -6.86 eV per atom. As for the symmetry: P2_13, No. 198. As for the formation enthalpy at 0 K: -0.192 eV per atom.

Lattice parameters (Å, degrees): 7.9199 7.9199 7.9199 90.00 90.00 90.00
With the nearest neighbours (Å) after each atom.
Fractional coordinates of all 28 atoms:
Np1 0.0900 0.4100 0.5900  5 Pd 2.65-2.95, 6 Pt 2.80-2.90
Np2 0.4100 0.5900 0.0900  5 Pd 2.65-2.95, 6 Pt 2.80-2.90
Np3 0.5900 0.0900 0.4100  5 Pd 2.65-2.95, 6 Pt 2.80-2.90
Np4 0.9100 0.9100 0.9100  5 Pd 2.65-2.95, 6 Pt 2.80-2.90
Pd1 0.0765 0.5765 0.9235  6 Pt 2.73-2.80, 3 Np 2.95
Pd2 0.1033 0.1033 0.1033  1 Np 2.65, 6 Pt 2.69-2.72
Pd3 0.2086 0.7914 0.2914  1 Np 2.76, 6 Pt 2.88-3.05, 3 Pd 3.00
Pd4 0.2914 0.2086 0.7914  1 Np 2.76, 6 Pt 2.88-3.05, 3 Pd 3.00
Pd5 0.3967 0.8967 0.6033  1 Np 2.65, 6 Pt 2.69-2.72
Pd6 0.4235 0.4235 0.4235  6 Pt 2.73-2.80, 3 Np 2.95
Pd7 0.5765 0.9235 0.0765  6 Pt 2.73-2.80, 3 Np 2.95
Pd8 0.6033 0.3967 0.8967  1 Np 2.65, 6 Pt 2.69-2.72
Pd9 0.7086 0.7086 0.7086  1 Np 2.76, 6 Pt 2.88-3.05, 3 Pd 3.00
Pd10 0.7914 0.2914 0.2086  1 Np 2.76, 6 Pt 2.88-3.05, 3 Pd 3.00
Pd11 0.8967 0.6033 0.3967  1 Np 2.65, 6 Pt 2.69-2.72
Pd12 0.9235 0.0765 0.5765  6 Pt 2.73-2.80, 3 Np 2.95
Pt1 0.0805 0.7741 0.6309  5 Pd 2.69-2.88, 2 Np 2.80-2.90, 2 Pt 2.85
Pt2 0.1309 0.4195 0.2259  5 Pd 2.69-2.88, 2 Np 2.80-2.90, 2 Pt 2.85
Pt3 0.2259 0.1309 0.4195  5 Pd 2.69-2.88, 2 Np 2.80-2.90, 2 Pt 2.85
Pt4 0.2741 0.8691 0.9195  5 Pd 2.69-2.88, 2 Np 2.80-2.90, 2 Pt 2.85
Pt5 0.3691 0.5805 0.7259  5 Pd 2.69-2.88, 2 Np 2.80-2.90, 2 Pt 2.85
Pt6 0.4195 0.2259 0.1309  5 Pd 2.69-2.88, 2 Np 2.80-2.90, 2 Pt 2.85
Pt7 0.5805 0.7259 0.3691  5 Pd 2.69-2.88, 2 Np 2.80-2.90, 2 Pt 2.85
Pt8 0.6309 0.0805 0.7741  5 Pd 2.69-2.88, 2 Np 2.80-2.90, 2 Pt 2.85
Pt9 0.7259 0.3691 0.5805  5 Pd 2.69-2.88, 2 Np 2.80-2.90, 2 Pt 2.85
Pt10 0.7741 0.6309 0.0805  5 Pd 2.69-2.88, 2 Np 2.80-2.90, 2 Pt 2.85
Pt11 0.8691 0.9195 0.2741  5 Pd 2.69-2.88, 2 Np 2.80-2.90, 2 Pt 2.85
Pt12 0.9195 0.2741 0.8691  5 Pd 2.69-2.88, 2 Np 2.80-2.90, 2 Pt 2.85

---

Record 7
Mn2Hg2Sb after structural relaxation, computed with PBE.

Results
The value obtained for the total energy is -4.23 eV per atom. As for the symmetry: P4/mbm, No. 127.

Lattice parameters (Å, degrees): 8.2804 8.2804 3.0570 90.00 90.00 90.00
With the nearest neighbours (Å) after each atom.
Fractional coordinates of all 10 atoms:
Mn1 0.1239 0.3761 0.0000  6 Hg 2.86-2.90, 3 Mn 2.90-3.06
Mn2 0.3761 0.8761 0.0000  6 Hg 2.86-2.90, 3 Mn 2.90-3.06
Mn3 0.6239 0.1239 0.0000  6 Hg 2.86-2.90, 3 Mn 2.90-3.06
Mn4 0.8761 0.6239 0.0000  6 Hg 2.86-2.90, 3 Mn 2.90-3.06
Hg1 0.1697 0.6697 0.5000  6 Mn 2.86-2.90, 2 Hg 3.06, 2 Sb 3.07
Hg2 0.3303 0.1697 0.5000  6 Mn 2.86-2.90, 2 Hg 3.06, 2 Sb 3.07
Hg3 0.6697 0.8303 0.5000  6 Mn 2.86-2.90, 2 Hg 3.06, 2 Sb 3.07
Hg4 0.8303 0.3303 0.5000  6 Mn 2.86-2.90, 2 Hg 3.06, 2 Sb 3.07
Sb1 0.0000 0.0000 0.5000  2 Sb 3.06, 4 Hg 3.07
Sb2 0.5000 0.5000 0.5000  2 Sb 3.06, 4 Hg 3.07

---

Record 8
CuSb2AsCl after structural relaxation, computed with PBE.

Results
The value obtained for the total energy is -3.30 eV per atom. As for the symmetry: P4/mmm, No. 123.

Lattice parameters (Å, degrees): 5.5747 5.5747 4.4312 90.00 90.00 90.00
With the nearest neighbours (Å) after each atom.
Fractional coordinates of all 5 atoms:
Cu1 0.0000 0.0000 0.0000  2 As 2.22
Sb1 0.0000 0.5000 0.5000  2 As 2.79
Sb2 0.5000 0.0000 0.5000  2 As 2.79
As1 0.0000 0.0000 0.5000  2 Cu 2.22
Cl1 0.5000 0.5000 0.0000  8 Sb 3.56, 4 Cu 3.94

---

Record 9
ZrAlOs2 after structural relaxation, computed with PBE.

Results
The value obtained for the total energy is -8.89 eV per atom. As for the symmetry: I-4m2, No. 119. As for the formation enthalpy at 0 K: -0.200 eV per atom.

Lattice parameters (Å, degrees): 5.1794 5.1794 5.1794 136.82 136.82 62.71
With the nearest neighbours (Å) after each atom.
Fractional coordinates of all 4 atoms:
Zr1 0.0000 0.0000 0.0000  8 Os 2.70-2.92, 4 Al 2.92
Al1 0.2500 0.7500 0.5000  8 Os 2.70-2.92, 4 Zr 2.92
Os1 0.5000 0.5000 0.0000  4 Zr 2.70, 4 Os 2.92, 4 Al 2.92
Os2 0.7500 0.2500 0.5000  4 Al 2.70, 4 Zr 2.92, 4 Os 2.92

---

Record 10
Er4Te2PbSe after structural relaxation, computed with PBE.

Results
The value obtained for the total energy is -5.14 eV per atom. As for the symmetry: P2/m, No. 10.

Lattice parameters (Å, degrees): 7.3901 4.2857 7.4684 90.00 109.43 90.00
With the nearest neighbours (Å) after each atom.
Fractional coordinates of all 8 atoms:
Er1 0.2338 0.0000 0.2266  2 Se 2.91, 1 Pb 2.99, 3 Te 3.08-3.16
Er2 0.2475 0.5000 0.7645  1 Se 2.93, 2 Pb 3.00, 3 Te 3.07-3.14
Er3 0.7525 0.5000 0.2355  1 Se 2.93, 2 Pb 3.00, 3 Te 3.07-3.14
Er4 0.7662 0.0000 0.7734  2 Se 2.91, 1 Pb 2.99, 3 Te 3.08-3.16
Te1 0.0000 0.0000 0.5000  6 Er 3.07-3.08
Te2 0.5000 0.5000 0.5000  6 Er 3.14-3.16
Pb1 0.5000 0.0000 0.0000  6 Er 2.99-3.00
Se1 0.0000 0.5000 0.0000  6 Er 2.91-2.93

---

Record 11
CaPu2ReN4 after structural relaxation, computed with PBE.

Results
The value obtained for the total energy is -10.36 eV per atom. As for the symmetry: Cmcm, No. 63.

Lattice parameters (Å, degrees): 6.0914 6.0914 12.2191 90.00 90.00 146.73
With the nearest neighbours (Å) after each atom.
Fractional coordinates of all 16 atoms:
Ca1 0.0625 0.9375 0.7500  2 N 2.62
Ca2 0.9375 0.0625 0.2500  2 N 2.62
Pu1 0.3692 0.6308 0.5481  6 N 2.26-2.49
Pu2 0.3692 0.6308 0.9519  6 N 2.26-2.49
Pu3 0.6308 0.3692 0.0481  6 N 2.26-2.49
Pu4 0.6308 0.3692 0.4519  6 N 2.26-2.49
Re1 0.1932 0.8068 0.2500  4 N 1.97-2.03
Re2 0.8068 0.1932 0.7500  4 N 1.97-2.03
N1 0.0000 0.0000 0.0000  4 Pu 2.39
N2 0.0000 0.0000 0.5000  4 Pu 2.39
N3 0.2513 0.7487 0.0986  1 Re 1.97
N4 0.2513 0.7487 0.4014  1 Re 1.97
N5 0.3952 0.6048 0.7500  2 Re 2.03
N6 0.6048 0.3952 0.2500  2 Re 2.03
N7 0.7487 0.2513 0.5986  1 Re 1.97
N8 0.7487 0.2513 0.9014  1 Re 1.97

---

Record 12
Ta2ReAsO after structural relaxation, computed with PBE.

Results
The value obtained for the total energy is -8.66 eV per atom. As for the symmetry: P4/mmm, No. 123.

Lattice parameters (Å, degrees): 5.0138 5.0138 3.7241 90.00 90.00 90.00
With the nearest neighbours (Å) after each atom.
Fractional coordinates of all 5 atoms:
Ta1 0.0000 0.5000 0.0000  2 Re 2.51
Ta2 0.5000 0.0000 0.0000  2 Re 2.51
Re1 0.0000 0.0000 0.0000  2 O 1.86
As1 0.5000 0.5000 0.5000  8 Ta 3.12
O1 0.0000 0.0000 0.5000  2 Re 1.86